[1]
Crystalline Ag5Te6Au at its relaxed geometry. Source: the Alexandria database, functional GGA-PBE.

Properties
As for the calculated total energy: -72.9 eV for the cell shown. As for the formation energy (no corrections): -6 meV per atom. The value obtained for the magnetization is 0.000 μB per formula unit. The value obtained for the relative energy among the computed polymorphs is 0.32 eV/f.u.

Lattice parameters (Å, degrees): 7.1781 12.4454 7.1735 90.00 109.76 90.00
Space group C2/m (No. 12)
Symmetry-distinct sites (fractional):
Ag  0.0000  0.0000  0.0000 [2 per cell]
Ag  0.0000  0.1682  0.5000 [4 per cell]
Ag  0.0000  0.3351  0.0000 [4 per cell]
Te  0.2412  0.5000  0.2663 [4 per cell]
Te  0.2479  0.3365  0.7535 [8 per cell]
Au  0.0000  0.5000  0.5000 [2 per cell]

***

[2]
Crystalline AgTe2Au at its relaxed geometry. Source: the Alexandria database, functional GGA-PBE.

Properties
As for the calculated total energy: -23.7 eV for the cell shown. As for the formation energy (no corrections): 144 meV per atom. The value obtained for the magnetization is 0.000 μB per formula unit. The value obtained for the relative energy among the computed polymorphs is 0.71 eV/f.u.

Lattice parameters (Å, degrees): 3.8881 3.9541 13.1785 90.00 90.00 90.00
Space group Imm2 (No. 44)
Symmetry-distinct sites (fractional):
Ag  0.0000  0.0000  0.0000 [2 per cell]
Te  0.0000  0.0000  0.4088 [2 per cell]
Te  0.0000  0.5000  0.1640 [2 per cell]
Au  0.0000  0.5000  0.7489 [2 per cell]

***

[3]
Crystalline Ag2TeAu2 at its relaxed geometry. Source: the Alexandria database, functional GGA-PBE.

Properties
As for the calculated total energy: -29.1 eV for the cell shown. As for the formation energy (no corrections): 170 meV per atom. The value obtained for the magnetization is 0.000 μB per formula unit. The value obtained for the relative energy among the computed polymorphs is 0.54 eV/f.u.

Lattice parameters (Å, degrees): 3.9413 3.9413 13.8224 90.00 90.00 90.00
Space group I4/mmm (No. 139)
Symmetry-distinct sites (fractional):
Ag  0.0000  0.5000  0.2500 [4 per cell]
Te  0.0000  0.0000  0.0000 [2 per cell]
Au  0.0000  0.0000  0.4008 [4 per cell]

***

[4]
Crystalline AgTeAu3 at its relaxed geometry. Source: the Alexandria database, functional GGA-PBE.

Properties
As for the calculated total energy: -12.1 eV for the cell shown. As for the formation energy (no corrections): 747 meV per atom. The value obtained for the magnetization is 0.000 μB per formula unit. The value obtained for the relative energy among the computed polymorphs is 0.50 eV/f.u.

Lattice parameters (Å, degrees): 5.0750 5.0750 5.0750 90.00 90.00 90.00
Space group Pm-3m (No. 221)
Symmetry-distinct sites (fractional):
Ag  0.0000  0.0000  0.0000 [1 per cell]
Te  0.5000  0.5000  0.5000 [1 per cell]
Au  0.0000  0.0000  0.5000 [3 per cell]

***

[5]
Crystalline AgTeAu2 at its relaxed geometry. Source: the Alexandria database, functional GGA-PBE.

Properties
As for the calculated total energy: -48.6 eV for the cell shown. As for the formation energy (no corrections): 102 meV per atom. The value obtained for the magnetization is 0.000 μB per formula unit.

Lattice parameters (Å, degrees): 4.1658 4.1658 20.0204 90.00 90.00 90.00
Space group I-42d (No. 122)
Symmetry-distinct sites (fractional):
Ag  0.0000  0.0000  0.0000 [4 per cell]
Te  0.0000  0.0000  0.5000 [4 per cell]
Au  0.2462  0.2500  0.1250 [8 per cell]

***

[6]
Crystalline Ag5Te4Au at its relaxed geometry. Source: the Alexandria database, functional GGA-PBE.

Properties
As for the calculated total energy: -60.6 eV for the cell shown. As for the formation energy (no corrections): -19 meV per atom. The value obtained for the magnetization is 0.000 μB per formula unit.

Lattice parameters (Å, degrees): 14.6583 4.2999 8.7454 90.00 97.19 90.00
Space group C2/m (No. 12)
Symmetry-distinct sites (fractional):
Ag  0.0000  0.0000  0.0000 [2 per cell]
Ag  0.0482  0.5000  0.7457 [4 per cell]
Ag  0.1407  0.5000  0.4403 [4 per cell]
Te  0.1135  0.5000  0.1116 [4 per cell]
Te  0.1685  0.0000  0.6701 [4 per cell]
Au  0.0000  0.0000  0.5000 [2 per cell]

***

[7]
Crystalline Ag3Te4Au at its relaxed geometry. Source: the Alexandria database, functional GGA-PBE.

Properties
As for the calculated total energy: -47.8 eV for the cell shown. As for the formation energy (no corrections): 62 meV per atom. The value obtained for the magnetization is 0.000 μB per formula unit.

Lattice parameters (Å, degrees): 8.7932 7.3547 7.7447 90.00 90.00 90.00
Space group Pmn2_1 (No. 31)
Symmetry-distinct sites (fractional):
Ag  0.0000  0.1666  0.0000 [2 per cell]
Ag  0.2496  0.3338  0.5011 [4 per cell]
Te  0.0000  0.1667  0.3532 [2 per cell]
Te  0.0000  0.8262  0.8480 [2 per cell]
Te  0.2457  0.6748  0.3549 [4 per cell]
Au  0.0000  0.8349  0.5031 [2 per cell]

***

[8]
Crystalline Ag5Te8Au at its relaxed geometry. Source: the Alexandria database, functional GGA-PBE.

Properties
As for the calculated total energy: -85.1 eV for the cell shown. As for the formation energy (no corrections): 7 meV per atom. The value obtained for the magnetization is 0.000 μB per formula unit.

Lattice parameters (Å, degrees): 9.4335 9.4335 9.6021 90.00 90.00 90.00
Space group I-4 (No. 82)
Symmetry-distinct sites (fractional):
Ag  0.0000  0.0000  0.0000 [2 per cell]
Ag  0.0165  0.3407  0.5703 [8 per cell]
Te  0.0997  0.2351  0.8357 [8 per cell]
Te  0.1016  0.2408  0.3148 [8 per cell]
Au  0.0000  0.5000  0.2500 [2 per cell]

***

[9]
Crystalline AgTe2Au at its relaxed geometry. Source: the Alexandria database, functional GGA-PBE.

Properties
As for the calculated total energy: -23.2 eV for the cell shown. As for the formation energy (no corrections): 203 meV per atom. The value obtained for the magnetization is 0.000 μB per formula unit. The value obtained for the relative energy among the computed polymorphs is 0.95 eV/f.u.

Lattice parameters (Å, degrees): 3.9435 6.5576 8.1884 90.00 90.00 90.00
Space group Cmmm (No. 65)
Symmetry-distinct sites (fractional):
Ag  0.0000  0.0000  0.0000 [2 per cell]
Te  0.0000  0.5000  0.2596 [4 per cell]
Au  0.0000  0.0000  0.5000 [2 per cell]

***

[10]
Crystalline AgTe2Au at its relaxed geometry. Source: the Alexandria database, functional GGA-PBE.

Properties
As for the calculated total energy: -12.4 eV for the cell shown. As for the formation energy (no corrections): 5 meV per atom. The value obtained for the magnetization is 0.000 μB per formula unit. The value obtained for the relative energy among the computed polymorphs is 0.15 eV/f.u.

Lattice parameters (Å, degrees): 3.2302 4.6153 7.5392 90.00 91.88 90.00
Space group Pm (No. 6)
Symmetry-distinct sites (fractional):
Ag  0.0000  0.0000  0.0000 [1 per cell]
Te  0.0083  0.5000  0.1964 [1 per cell]
Te  0.9717  0.0000  0.5999 [1 per cell]
Au  0.9820  0.5000  0.7932 [1 per cell]

***

[11]
Crystalline AgTeAu2 at its relaxed geometry. Source: the Alexandria database, functional GGA-PBE.

Properties
As for the calculated total energy: -12.1 eV for the cell shown. As for the formation energy (no corrections): 118 meV per atom. The value obtained for the magnetization is 0.000 μB per formula unit.

Lattice parameters (Å, degrees): 3.7693 3.7693 5.8130 90.00 90.00 90.00
Space group P4mm (No. 99)
Symmetry-distinct sites (fractional):
Ag  0.0000  0.0000  0.0000 [1 per cell]
Te  0.5000  0.5000  0.7405 [1 per cell]
Au  0.0000  0.0000  0.4841 [1 per cell]
Au  0.5000  0.5000  0.2395 [1 per cell]

***

[12]
Crystalline AgTeAu2 at its relaxed geometry. Source: the Alexandria database, functional GGA-PBE.

Properties
As for the calculated total energy: -12.3 eV for the cell shown. As for the formation energy (no corrections): 59 meV per atom. The value obtained for the magnetization is 0.000 μB per formula unit.

Lattice parameters (Å, degrees): 3.0788 3.9351 7.1796 90.00 90.13 90.00
Space group Pm (No. 6)
Symmetry-distinct sites (fractional):
Ag  0.0000  0.0000  0.0000 [1 per cell]
Te  0.9967  0.5000  0.3019 [1 per cell]
Au  0.4981  0.5000  0.7939 [1 per cell]
Au  0.9963  0.0000  0.5908 [1 per cell]